Density functional theory data (GGA-PBE) for PC after structural relaxation.

Cell: 3.3094 2.9080 4.8782 Å, 90.00 108.51 90.00°
Closest atoms and distances in Å follow each position.
Fractional positions:
P 0.0000 0.0000 0.0000  3 C 1.75-1.91
P 0.4597 0.5000 0.5693  3 C 1.77-1.84
C 0.1022 0.5000 0.2105  3 P 1.75-1.77
C 0.3842 0.0000 0.7789  4 P 1.84-1.98

Summary:
**DOS at the Fermi energy**: 0.13 states/eV per atom
**Energy of formation**: 1.38 eV/f.u.
**V**: 44.5 Å³ per cell
**Polymorph energy (0 for the lowest one)**: 36.63 kJ/mol of atoms
**Final energy**: -6.62 eV per atom


Density functional theory data (GGA-PBE) for Rb2H2I after structural relaxation.

Cell: 5.3363 5.3363 8.5266 Å, 97.72 97.72 63.30°
Closest atoms and distances in Å follow each position.
Fractional positions:
Rb 0.1946 0.1946 0.2469  2 H 3.26
Rb 0.8054 0.8054 0.7531  2 H 3.26
H 0.4312 0.5688 0.5000  1 H 0.77
H 0.5688 0.4312 0.5000  1 H 0.77
I 0.5000 0.5000 0.0000  6 Rb 3.74-3.77

Summary:
**DOS at the Fermi energy**: 0.29 states/eV per atom
**V**: 214.2 Å³ per cell
**Polymorph energy (0 for the lowest one)**: 0.00 kJ/mol of atoms
**Final energy**: -2.56 eV per atom


Density functional theory data (GGA-PBE) for KCaCe2Se4 after structural relaxation.

Cell: 7.4907 4.2724 7.5834 Å, 90.00 108.79 90.00°
Closest atoms and distances in Å follow each position.
Fractional positions:
K 0.0000 0.0000 0.0000  6 Se 3.15-3.17
Ca 0.5000 0.5000 0.0000  6 Se 3.05-3.08
Ce 0.0000 0.5000 0.5000  6 Se 3.06-3.07
Ce 0.5000 0.0000 0.5000  6 Se 2.96-2.98
Se 0.2584 0.0000 0.7450  3 Ce 2.98-3.07, 2 Ca 3.05, 1 K 3.15
Se 0.2665 0.5000 0.2678  3 Ce 2.96-3.06, 1 Ca 3.08, 2 K 3.17
Se 0.7335 0.5000 0.7322  3 Ce 2.96-3.06, 1 Ca 3.08, 2 K 3.17
Se 0.7416 0.0000 0.2550  3 Ce 2.98-3.07, 2 Ca 3.05, 1 K 3.15

Summary:
**DOS at the Fermi energy**: 2.05 states/eV per atom
**V**: 229.8 Å³ per cell
**Uncorrected formation energy**: -1.73 eV/atom
**Final energy**: -5.34 eV per atom


Density functional theory data (GGA-PBE) for Ce2Al2Si after structural relaxation.

Cell: 8.8377 8.8377 8.8377 Å, 155.37 155.37 35.12°
Closest atoms and distances in Å follow each position.
Fractional positions:
Ce 0.0865 0.0865 0.0000  1 Ce 2.92, 4 Si 3.04
Ce 0.9135 0.9135 0.0000  1 Ce 2.92, 4 Si 3.04
Al 0.2500 0.7500 0.5000  4 Al 2.67
Al 0.7500 0.2500 0.5000  4 Al 2.67
Si 0.5000 0.5000 0.0000  8 Ce 3.04

Summary:
**DOS at the Fermi energy**: 1.94 states/eV per atom
**V**: 119.8 Å³ per cell
**Uncorrected formation energy**: -0.18 eV/atom
**Polymorph energy (0 for the lowest one)**: 25.74 kJ/mol of atoms
**Final energy**: -5.13 eV per atom


Density functional theory data (GGA-PBE) for K4BaMg after structural relaxation.

Cell: 8.0077 8.0077 8.0077 Å, 60.00 60.00 60.00°
Closest atoms and distances in Å follow each position.
Fractional positions:
K 0.1241 0.1241 0.1241  6 K 3.97-4.03
K 0.1241 0.1241 0.6277  6 K 3.97-4.03
K 0.1241 0.6277 0.1241  6 K 3.97-4.03
K 0.6277 0.1241 0.1241  6 K 3.97-4.03
Ba 0.5000 0.5000 0.5000  12 K 4.70, 4 Mg 4.90
Mg 0.7500 0.7500 0.7500  12 K 4.69, 4 Ba 4.90

Summary:
**DOS at the Fermi energy**: 1.33 states/eV per atom
**Energy of formation**: 1.54 eV/f.u.
**V**: 363.1 Å³ per cell
**Final energy**: -1.06 eV per atom


Density functional theory data (GGA-PBE) for Ta3Rh after structural relaxation.

Cell: 5.6968 5.6968 4.9576 Å, 90.00 90.00 120.00°
Closest atoms and distances in Å follow each position.
Fractional positions:
Ta 0.1690 0.3381 0.2500  8 Ta 2.81-2.99, 4 Rh 2.85-2.96
Ta 0.1690 0.8310 0.2500  8 Ta 2.81-2.99, 4 Rh 2.85-2.96
Ta 0.3381 0.1690 0.7500  8 Ta 2.81-2.99, 4 Rh 2.85-2.96
Ta 0.6619 0.8310 0.2500  8 Ta 2.81-2.99, 4 Rh 2.85-2.96
Ta 0.8310 0.1690 0.7500  8 Ta 2.81-2.99, 4 Rh 2.85-2.96
Ta 0.8310 0.6619 0.7500  8 Ta 2.81-2.99, 4 Rh 2.85-2.96
Rh 0.3333 0.6667 0.7500  12 Ta 2.85-2.96
Rh 0.6667 0.3333 0.2500  12 Ta 2.85-2.96

Summary:
**DOS at the Fermi energy**: 1.11 states/eV per atom
**Energy of formation**: -0.10 eV/f.u.
**V**: 139.3 Å³ per cell
**Final energy**: -10.75 eV per atom


Density functional theory data (GGA-PBE) for Cs2Sm2SnSe6 after structural relaxation.

Cell: 7.2616 7.2616 9.0086 Å, 98.13 98.13 119.66°
Closest atoms and distances in Å follow each position.
Fractional positions:
Cs 0.1713 0.8287 0.0000  6 Se 3.64-3.68
Cs 0.8287 0.1713 0.0000  6 Se 3.64-3.68
Sm 0.3318 0.6682 0.5000  6 Se 2.95-2.97
Sm 0.6682 0.3318 0.5000  6 Se 2.95-2.97
Sn 0.0000 0.0000 0.5000  6 Se 2.76-2.79
Se 0.0663 0.3813 0.6842  1 Sn 2.79, 2 Sm 2.95
Se 0.2485 0.2485 0.3195  1 Sn 2.76, 2 Sm 2.97
Se 0.3813 0.0663 0.6842  1 Sn 2.79, 2 Sm 2.95
Se 0.6187 0.9337 0.3158  1 Sn 2.79, 2 Sm 2.95
Se 0.7515 0.7515 0.6805  1 Sn 2.76, 2 Sm 2.97
Se 0.9337 0.6187 0.3158  1 Sn 2.79, 2 Sm 2.95

Summary:
**V**: 396.1 Å³ per cell
**Uncorrected formation energy**: -1.33 eV/atom
**Final energy**: -4.61 eV per atom


Density functional theory data (GGA-PBE) for Sr2Mg3Cd6 after structural relaxation.

Cell: 8.8598 8.8598 4.0684 Å, 90.00 90.00 96.92°
Closest atoms and distances in Å follow each position.
Fractional positions:
Sr 0.2074 0.7926 0.0000  8 Cd 3.54-3.69
Sr 0.7926 0.2074 0.0000  8 Cd 3.54-3.69
Mg 0.3017 0.3017 0.0000  6 Cd 2.92-2.97, 2 Mg 3.09
Mg 0.5000 0.5000 0.5000  4 Cd 3.09, 4 Mg 3.09
Mg 0.6983 0.6983 0.0000  6 Cd 2.92-2.97, 2 Mg 3.09
Cd 0.1178 0.1178 0.5000  3 Cd 2.77-3.05, 2 Mg 2.97
Cd 0.1492 0.4640 0.5000  2 Cd 2.79-3.05, 3 Mg 2.92-3.09
Cd 0.4640 0.1492 0.5000  2 Cd 2.79-3.05, 3 Mg 2.92-3.09
Cd 0.5360 0.8508 0.5000  2 Cd 2.79-3.05, 3 Mg 2.92-3.09
Cd 0.8508 0.5360 0.5000  2 Cd 2.79-3.05, 3 Mg 2.92-3.09
Cd 0.8822 0.8822 0.5000  3 Cd 2.77-3.05, 2 Mg 2.97

Summary:
**DOS at the Fermi energy**: 0.50 states/eV per atom
**Energy of formation**: -1.28 eV/f.u.
**V**: 317.0 Å³ per cell
**Final energy**: -1.36 eV per atom


Density functional theory data (GGA-PBE) for Cu2SiAs after structural relaxation.

Cell: 6.0890 6.0890 4.0026 Å, 101.33 101.33 25.24°
Closest atoms and distances in Å follow each position.
Fractional positions:
Cu 0.0000 0.0000 0.0000  4 Si 2.44-2.47, 4 Cu 2.61-2.66
Cu 0.6693 0.6693 0.8315  4 As 2.55-2.57, 4 Cu 2.61-2.66, 1 Si 2.65
Si 0.4566 0.4566 0.4687  5 Cu 2.44-2.65, 1 As 2.46, 2 Si 2.66
As 0.2454 0.2454 0.3793  1 Si 2.46, 4 Cu 2.55-2.57, 2 As 2.66

Summary:
**DOS at the Fermi energy**: 0.30 states/eV per atom
**V**: 62.0 Å³ per cell
**Uncorrected formation energy**: 0.07 eV/atom
**Final energy**: -4.50 eV per atom


Density functional theory data (GGA-PBE) for CsDyMg2Br8 after structural relaxation.

Cell: 7.0216 7.1348 9.9426 Å, 72.32 74.40 72.46°
Closest atoms and distances in Å follow each position.
Fractional positions:
Cs 0.0000 0.0000 0.0000  6 Br 3.63-4.04
Dy 0.0000 0.0000 0.5000  6 Br 2.78-2.85
Mg 0.4574 0.4494 0.2118  5 Br 2.56-2.73
Mg 0.5426 0.5506 0.7882  5 Br 2.56-2.73
Br 0.1800 0.7074 0.7265  1 Mg 2.61, 1 Dy 2.85
Br 0.2664 0.7865 0.2984  1 Mg 2.65, 1 Dy 2.82
Br 0.2736 0.2367 0.4532  1 Mg 2.65, 1 Dy 2.78
Br 0.3843 0.2989 0.0327  2 Mg 2.56-2.73
Br 0.6157 0.7011 0.9673  2 Mg 2.56-2.73
Br 0.7264 0.7633 0.5468  1 Mg 2.65, 1 Dy 2.78
Br 0.7336 0.2135 0.7016  1 Mg 2.65, 1 Dy 2.82
Br 0.8200 0.2926 0.2735  1 Mg 2.61, 1 Dy 2.85

Summary:
**DOS at the Fermi energy**: 0.00 states/eV per atom
**V**: 443.8 Å³ per cell
**Uncorrected formation energy**: -1.61 eV/atom
**Final energy**: -3.44 eV per atom


Density functional theory data (GGA-PBE) for LiMg3Ga3Rh2 after structural relaxation.

Cell: 7.4342 7.4342 3.0098 Å, 90.00 90.00 120.00°
Closest atoms and distances in Å follow each position.
Fractional positions:
Li 0.0000 0.0000 0.0000  6 Mg 2.65, 3 Ga 2.79
Mg 0.0000 0.7061 0.5000  2 Rh 2.64, 2 Li 2.65, 6 Ga 2.89-2.95
Mg 0.2939 0.2939 0.5000  2 Rh 2.64, 2 Li 2.65, 6 Ga 2.89-2.95
Mg 0.7061 0.0000 0.5000  2 Rh 2.64, 2 Li 2.65, 6 Ga 2.89-2.95
Ga 0.0000 0.3747 0.0000  4 Rh 2.78, 1 Li 2.79, 6 Mg 2.89-2.95, 2 Ga 3.01
Ga 0.3747 0.0000 0.0000  4 Rh 2.78, 1 Li 2.79, 6 Mg 2.89-2.95, 2 Ga 3.01
Ga 0.6253 0.6253 0.0000  4 Rh 2.78, 1 Li 2.79, 6 Mg 2.89-2.95, 2 Ga 3.01
Rh 0.3333 0.6667 0.5000  3 Mg 2.64, 6 Ga 2.78
Rh 0.6667 0.3333 0.5000  3 Mg 2.64, 6 Ga 2.78

Summary:
**DOS at the Fermi energy**: 0.24 states/eV per atom
**Energy of formation**: -2.57 eV/f.u.
**V**: 144.1 Å³ per cell
**Final energy**: -3.67 eV per atom


Density functional theory data (GGA-PBE) for MgTlZn3 after structural relaxation.

Cell: 5.1480 5.1480 5.1480 Å, 90.00 90.00 90.00°
Closest atoms and distances in Å follow each position.
Fractional positions:
Mg 0.0000 0.0000 0.0000  6 Zn 2.57
Tl 0.5000 0.5000 0.5000  12 Zn 3.64
Zn 0.0000 0.0000 0.5000  2 Mg 2.57
Zn 0.0000 0.5000 0.0000  2 Mg 2.57
Zn 0.5000 0.0000 0.0000  2 Mg 2.57

Summary:
**DOS at the Fermi energy**: 0.46 states/eV per atom
**Energy of formation**: 2.33 eV/f.u.
**V**: 136.4 Å³ per cell
**Polymorph energy (0 for the lowest one)**: 0.00 kJ/mol of atoms
**Final energy**: -1.09 eV per atom


Density functional theory data (GGA-PBE) for BaTc2Pt after structural relaxation.

Cell: 2.9069 4.2559 7.0449 Å, 90.00 90.00 90.00°
Closest atoms and distances in Å follow each position.
Fractional positions:
Ba 0.0000 0.0000 0.0000  2 Ba 2.91
Tc 0.5000 0.5000 0.3420  1 Tc 2.23
Tc 0.5000 0.5000 0.6580  1 Tc 2.23
Pt 0.0000 0.0000 0.5000  8 Tc 2.81, 2 Pt 2.91

Summary:
**DOS at the Fermi energy**: 1.14 states/eV per atom
**Energy of formation**: 2.37 eV/f.u.
**V**: 87.2 Å³ per cell
**Polymorph energy (0 for the lowest one)**: 38.31 kJ/mol of atoms
**Final energy**: -6.58 eV per atom


Density functional theory data (GGA-PBE) for Tl4ZnCd after structural relaxation.

Cell: 6.4428 6.4428 6.4428 Å, 60.00 60.00 60.00°
Closest atoms and distances in Å follow each position.
Fractional positions:
Tl 0.1249 0.1249 0.1249  6 Tl 3.22
Tl 0.1249 0.1249 0.6252  6 Tl 3.22
Tl 0.1249 0.6252 0.1249  6 Tl 3.22
Tl 0.6252 0.1249 0.1249  6 Tl 3.22
Zn 0.7500 0.7500 0.7500  12 Tl 3.78, 4 Cd 3.95
Cd 0.5000 0.5000 0.5000  12 Tl 3.78, 4 Zn 3.95

Summary:
**DOS at the Fermi energy**: 0.65 states/eV per atom
**Energy of formation**: 1.69 eV/f.u.
**V**: 189.1 Å³ per cell
**Final energy**: -1.66 eV per atom


Density functional theory data (GGA-PBE) for TiCuWI2 after structural relaxation.

Cell: 5.0728 5.0728 4.7830 Å, 90.00 90.00 90.00°
Closest atoms and distances in Å follow each position.
Fractional positions:
Ti 0.0000 0.0000 0.0000  8 I 3.49, 4 W 3.59
Cu 0.5000 0.5000 0.5000  2 W 2.39, 4 I 2.54
W 0.5000 0.5000 0.0000  2 Cu 2.39
I 0.0000 0.5000 0.5000  2 Cu 2.54
I 0.5000 0.0000 0.5000  2 Cu 2.54

Summary:
**DOS at the Fermi energy**: 1.61 states/eV per atom
**V**: 123.1 Å³ per cell
**Uncorrected formation energy**: 1.61 eV/atom
**Final energy**: -4.00 eV per atom


Density functional theory data (GGA-PBE) for PmTiTl2 after structural relaxation.

Cell: 4.7197 4.7197 4.5009 Å, 90.00 90.00 90.00°
Closest atoms and distances in Å follow each position.
Fractional positions:
Pm 0.0000 0.0000 0.0000  8 Tl 3.26, 4 Ti 3.34
Ti 0.5000 0.5000 0.0000  8 Tl 3.26, 4 Pm 3.34
Tl 0.0000 0.5000 0.5000  4 Pm 3.26, 4 Ti 3.26, 4 Tl 3.34
Tl 0.5000 0.0000 0.5000  4 Pm 3.26, 4 Ti 3.26, 4 Tl 3.34

Summary:
**DOS at the Fermi energy**: 0.62 states/eV per atom
**Energy of formation**: -0.17 eV/f.u.
**V**: 100.3 Å³ per cell
**Final energy**: -4.39 eV per atom


Density functional theory data (GGA-PBE) for CrFe2Mo after structural relaxation.

Cell: 5.2466 5.2466 5.2466 Å, 102.84 102.84 123.74°
Closest atoms and distances in Å follow each position.
Fractional positions:
Cr 0.0000 0.0000 0.0000  4 Fe 2.30, 2 Mo 2.47
Cr 0.7500 0.2500 0.5000  4 Fe 2.30, 2 Mo 2.47
Fe 0.1034 0.6250 0.9784  2 Cr 2.30, 2 Fe 2.49, 2 Mo 2.49
Fe 0.3750 0.3534 0.4784  2 Cr 2.30, 2 Fe 2.49, 2 Mo 2.49
Fe 0.6466 0.1250 0.0216  2 Cr 2.30, 2 Fe 2.49, 2 Mo 2.49
Fe 0.8750 0.8966 0.5216  2 Cr 2.30, 2 Fe 2.49, 2 Mo 2.49
Mo 0.2500 0.7500 0.5000  2 Cr 2.47, 4 Fe 2.49
Mo 0.5000 0.5000 0.0000  2 Cr 2.47, 4 Fe 2.49

Summary:
**DOS at the Fermi energy**: 0.99 states/eV per atom
**Energy of formation**: 2.53 eV/f.u.
**V**: 105.9 Å³ per cell
**Polymorph energy (0 for the lowest one)**: 51.89 kJ/mol of atoms
**Final energy**: -8.71 eV per atom


Density functional theory data (GGA-PBE) for ReRu2W after structural relaxation.

Cell: 4.7635 4.7635 4.7751 Å, 99.63 99.63 33.69°
Closest atoms and distances in Å follow each position.
Fractional positions:
Re 0.0000 0.0000 0.0000  6 Ru 2.73-2.74, 4 W 2.76, 2 Re 2.76
Ru 0.2518 0.2518 0.7587  6 Ru 2.69-2.83, 3 Re 2.73-2.74, 3 W 2.76-2.78
Ru 0.7482 0.7482 0.2413  6 Ru 2.69-2.83, 3 Re 2.73-2.74, 3 W 2.76-2.78
W 0.5000 0.5000 0.5000  4 Re 2.76, 2 W 2.76, 6 Ru 2.76-2.78

Summary:
**DOS at the Fermi energy**: 0.84 states/eV per atom
**Energy of formation**: 0.26 eV/f.u.
**V**: 59.2 Å³ per cell
**Polymorph energy (0 for the lowest one)**: 4.99 kJ/mol of atoms
**Final energy**: -10.92 eV per atom


Density functional theory data (GGA-PBE) for TbThN after structural relaxation.

Cell: 3.5745 3.5745 6.2170 Å, 90.00 90.00 120.00°
Closest atoms and distances in Å follow each position.
Fractional positions:
Tb 0.0000 0.0000 0.0000  3 N 2.44
Th 0.6667 0.3333 0.5511  3 N 2.54
N 0.3333 0.6667 0.7895  3 Tb 2.44, 3 Th 2.54

Summary:
**DOS at the Fermi energy**: 0.66 states/eV per atom
**V**: 68.8 Å³ per cell
**Uncorrected formation energy**: -0.91 eV/atom
**Polymorph energy (0 for the lowest one)**: 0.00 kJ/mol of atoms
**Final energy**: -7.70 eV per atom


Density functional theory data (GGA-PBE) for YTl2In after structural relaxation.

Cell: 3.6242 4.5697 6.7027 Å, 90.00 90.00 90.00°
Closest atoms and distances in Å follow each position.
Fractional positions:
Y 0.0000 0.0000 0.0000  2 In 3.35, 8 Tl 3.36, 2 Y 3.62
Tl 0.5000 0.5000 0.2493  4 Tl 3.34-3.62, 4 Y 3.36, 4 In 3.37
Tl 0.5000 0.5000 0.7507  4 Tl 3.34-3.62, 4 Y 3.36, 4 In 3.37
In 0.0000 0.0000 0.5000  2 Y 3.35, 8 Tl 3.37, 2 In 3.62

Summary:
**DOS at the Fermi energy**: 0.89 states/eV per atom
**Energy of formation**: -0.55 eV/f.u.
**V**: 111.0 Å³ per cell
**Final energy**: -3.62 eV per atom